1.
TbYZn2Ga2 (PBE, relaxed); SG = P-3m1 (164)
1.0
4.415 0.000 0.000
-2.208 3.824 0.000
0.000 0.000 7.266
Tb Y Zn Ga
1 1 2 2
Direct
0.000 0.000 0.000
0.000 0.000 0.500
0.333 0.667 0.250
0.667 0.333 0.750
0.333 0.667 0.750
0.667 0.333 0.250

---

2.
Tb2YZn2Ga2 (PBE, relaxed); SG = R-3m (166)
1.0
2.219 1.281 9.225
-2.219 1.281 9.225
0.000 -2.562 9.225
Tb Y Zn Ga
2 1 2 2
Direct
0.126 0.126 0.126
0.874 0.874 0.874
0.000 0.000 0.000
0.397 0.397 0.397
0.603 0.603 0.603
0.264 0.264 0.264
0.736 0.736 0.736

---

3.
Tb2Zn7Ga (PBE, relaxed); SG = P-4m2 (115)
1.0
4.139 0.000 0.000
0.000 4.139 0.000
0.000 0.000 10.697
Tb Zn Ga
2 7 1
Direct
0.000 0.500 0.249
0.500 0.000 0.751
0.000 0.000 0.000
0.000 0.000 0.500
0.000 0.500 0.636
0.000 0.500 0.862
0.500 0.000 0.138
0.500 0.000 0.364
0.500 0.500 0.500
0.500 0.500 0.000

---

4.
Tb2ZnGa9 (PBE, relaxed); SG = P4/mmm (123)
1.0
4.283 0.000 0.000
0.000 4.283 0.000
0.000 0.000 12.471
Tb Zn Ga
2 1 9
Direct
0.000 0.000 0.173
0.000 0.000 0.827
0.000 0.000 0.500
0.000 0.500 0.000
0.000 0.500 0.351
0.000 0.500 0.649
0.500 0.000 0.000
0.500 0.000 0.351
0.500 0.000 0.649
0.500 0.500 0.163
0.500 0.500 0.500
0.500 0.500 0.837

---

5.
Tb6ZnGa2 (PBE, relaxed); E above lowest polymorph = 0 meV/atom; SG = Immm (71)
1.0
-4.824 4.864 5.183
4.824 -4.864 5.183
4.824 4.864 -5.183
Tb Zn Ga
12 2 4
Direct
0.031 0.824 0.207
0.246 0.551 0.304
0.246 0.942 0.696
0.270 0.324 0.593
0.270 0.676 0.946
0.383 0.176 0.207
0.617 0.824 0.793
0.730 0.324 0.054
0.730 0.676 0.407
0.754 0.058 0.304
0.754 0.449 0.696
0.969 0.176 0.793
0.000 0.500 0.500
0.500 0.000 0.500
0.000 0.147 0.147
0.000 0.853 0.853
0.377 0.377 0.000
0.623 0.623 0.000

---

6.
Tb4Zn3Ga16 (PBE, relaxed); SG = P4/mmm (123)
1.0
6.265 0.000 0.000
0.000 6.265 0.000
0.000 0.000 11.338
Tb Zn Ga
4 3 16
Direct
0.000 0.500 0.188
0.000 0.500 0.812
0.500 0.000 0.188
0.500 0.000 0.812
0.000 0.000 0.000
0.000 0.500 0.500
0.500 0.000 0.500
0.000 0.000 0.238
0.000 0.000 0.762
0.258 0.258 0.377
0.258 0.258 0.623
0.258 0.742 0.377
0.258 0.742 0.623
0.291 0.291 0.000
0.291 0.709 0.000
0.500 0.500 0.196
0.500 0.500 0.804
0.709 0.291 0.000
0.709 0.709 0.000
0.742 0.258 0.377
0.742 0.258 0.623
0.742 0.742 0.377
0.742 0.742 0.623

---

7.
Tb3ZnGa3 (PBE, relaxed); SG = C2/m (12)
1.0
5.379 -2.200 0.000
5.379 2.200 0.000
-4.905 0.000 13.349
Tb Zn Ga
6 2 6
Direct
0.040 0.040 0.382
0.101 0.101 0.921
0.244 0.244 0.221
0.756 0.756 0.779
0.899 0.899 0.079
0.960 0.960 0.618
0.253 0.253 0.607
0.747 0.747 0.393
0.370 0.370 0.455
0.387 0.387 0.926
0.464 0.464 0.768
0.536 0.536 0.232
0.613 0.613 0.074
0.630 0.630 0.545

---

8.
TbZn11Ga (PBE, relaxed); SG = C2/m (12)
1.0
2.631 -6.287 0.000
2.631 6.287 0.000
-2.615 0.000 6.277
Tb Zn Ga
1 11 1
Direct
0.000 0.000 0.000
0.000 0.000 0.500
0.000 0.500 0.000
0.010 0.652 0.647
0.279 0.496 0.785
0.348 0.990 0.353
0.496 0.279 0.785
0.500 0.000 0.000
0.504 0.721 0.215
0.652 0.010 0.647
0.721 0.504 0.215
0.990 0.348 0.353
0.500 0.500 0.500

---

In eV/atom, the E_form values for the records above are, in order, -0.58; -0.41; -0.33; -0.33; -0.34; -0.34; -0.60; -0.16.
In eV/atom, the E values for the records above are, in order, -3.860; -3.885; -2.454; -3.477; -4.244; -3.413; -4.061; -1.831.